Computed, not measured: an optimized crystal structure of Pd2RuPtRh at the PBE level of DFT.

a b c (Å): 4.849 4.632 4.849
angles (deg): 90.00 90.00 90.00
Each line ends with the local moment (μB).
Fractional positions:
1 Pd 0.500 0.000 0.000  0.12
2 Pd 0.000 0.000 0.500  0.02
3 Ru 0.000 0.500 0.000  1.06
4 Rh 0.500 0.500 0.500  1.19
5 Pt 0.000 0.000 0.000  0.05

Computed properties:
- raw total energy (eV/atom) = -4.991
- energy of formation from the pure elements (meV per atom) = 1620.0
- crystal system = tetragonal